Computed, not measured: an optimized crystal structure of SmDy2Ga at the PBE-GGA level of DFT.

Properties
Fermi-level density of states	4.52	states/eV/cell
formation energy from the elements	-0.193	eV per atom
calculated total energy	-17.7	eV/cell

a b c (Å): 10.4649 10.4649 10.4649
angles (deg): 19.91 19.91 19.91
Fractional coordinates of all 4 atoms:
Sm 0.0000 0.0000 0.0000
Dy 0.2372 0.2372 0.2372
Dy 0.4300 0.4300 0.4300
Ga 0.8340 0.8340 0.8340